[1]
PBE CsInHg2Ir, optimized geometry; space-group type = P4/mmm (123); N(E_F) = 1.827 states/eV/cell; raw total energy = -2.74 eV/atom
1.0
5.4732 0.0000 0.0000
0.0000 5.4732 0.0000
0.0000 0.0000 5.1911
In Hg Cs Ir
1 2 1 1
direct
0.0000 0.0000 0.5000
0.5000 0.0000 0.0000
0.0000 0.5000 0.0000
0.5000 0.5000 0.5000
0.0000 0.0000 0.0000

[2]
PBE Na2PmInGe2, optimized geometry; space-group type = Pmc2_1 (26); N(E_F) = 1.301 states/eV/cell; raw total energy = -3.61 eV/atom
1.0
-4.3290 0.7401 0.6701
-0.2196 -5.6914 4.8671
2.0133 5.6798 6.7326
Ge In Pm Na
4 2 2 4
direct
0.0000 0.7598 0.1585
0.0000 0.2598 0.8415
0.5000 0.7668 0.6114
0.5000 0.2668 0.3886
0.5000 0.1463 0.6884
0.5000 0.6463 0.3116
0.0000 0.9799 0.4371
0.0000 0.4799 0.5629
0.0000 0.3533 0.1678
0.5000 0.5395 0.9190
0.0000 0.8533 0.8322
0.5000 0.0395 0.0810

[3]
PBE Cs2RbTe, optimized geometry; polymorph energy (0 for the lowest one) = 68 meV/atom; formation energy (no corrections) = -602 meV per atom; space-group type = P4/mmm (123); N(E_F) = 3.281 states/eV/cell; raw total energy = -2.06 eV/atom
1.0
-2.4023 3.9287 1.4170
-2.6807 -2.7040 2.9522
7.7446 1.6531 8.5462
Te Cs Rb
1 2 1
direct
0.5000 0.5000 0.0000
0.0000 0.0000 0.8417
0.0000 0.0000 0.1583
0.5000 0.5000 0.5000

[4]
PBE Hf2BeNiH, optimized geometry; polymorph energy (0 for the lowest one) = 37 meV/atom; space-group type = P4/mmm (123); N(E_F) = 4.266 states/eV/cell; raw total energy = -6.73 eV/atom
1.0
-1.4781 2.4136 3.2890
-1.7389 -3.5372 1.8143
2.9154 -0.5530 1.7160
H Ni Be Hf
1 1 1 2
direct
0.0000 0.0000 0.0000
0.5000 0.5000 0.5000
0.0000 0.0000 0.5000
0.0000 0.5000 0.0000
0.5000 0.0000 0.0000

[5]
PBE Nd2BeGa2Au4, optimized geometry; space-group type = I4/mmm (139); N(E_F) = 3.232 states/eV/cell; raw total energy = -4.13 eV/atom
1.0
6.3173 0.0531 0.0766
-2.9858 5.5674 -0.0766
-2.9858 -2.0278 5.1856
Nd Au Ga Be
2 4 2 1
direct
0.5000 0.7500 0.2500
0.5000 0.2500 0.7500
0.4900 0.7450 0.7450
0.0000 0.2550 0.7450
0.5100 0.2550 0.2550
0.0000 0.7450 0.2550
0.0000 0.6951 0.6951
0.0000 0.3049 0.3049
0.0000 0.0000 0.0000

[6]
PBE Cr4CdTc, optimized geometry; space-group type = F-43m (216); N(E_F) = 5.493 states/eV/cell; raw total energy = -8.06 eV/atom
1.0
0.0000 3.4205 3.4205
3.4205 0.0000 3.4205
3.4205 3.4205 0.0000
Cr Cd Tc
4 1 1
direct
0.3746 0.8761 0.3746
0.3746 0.3746 0.3746
0.3746 0.3746 0.8761
0.8761 0.3746 0.3746
0.0000 0.0000 0.0000
0.7500 0.7500 0.7500

[7]
PBE TlGa2BiIr, optimized geometry; space-group type = P4/mmm (123); N(E_F) = 4.607 states/eV/cell; raw total energy = -2.83 eV/atom
1.0
-0.2200 2.9205 -4.0897
2.8087 -4.1171 -3.0911
-4.4104 -2.0746 -1.2443
Ga Tl Bi Ir
2 1 1 1
direct
0.5000 0.0000 0.0000
0.0000 0.0000 0.5000
0.0000 0.0000 0.0000
0.0000 0.5000 0.0000
0.5000 0.5000 0.5000

[8]
PBE Ac2TlPt, optimized geometry; space-group type = R-3m (166); N(E_F) = 2.553 states/eV/cell; raw total energy = -4.09 eV/atom
1.0
3.8936 0.0000 0.0000
1.9468 3.3720 0.0000
1.9468 1.1240 10.9502
Ac Pt Tl
2 1 1
direct
0.9159 0.9159 0.2524
0.0841 0.0841 0.7476
0.0000 0.0000 0.0000
0.5000 0.5000 0.5000

[9]
PBE RbNa12, optimized geometry; space-group type = I4/mmm (139); N(E_F) = 6.224 states/eV/cell; raw total energy = -1.27 eV/atom
1.0
6.8593 0.0000 0.0000
3.4296 8.8443 0.0000
3.4296 0.0000 8.8443
Na Rb
12 1
direct
0.0000 0.6406 0.3594
0.5000 0.0000 0.5000
0.5000 0.2202 0.7798
0.0000 0.0000 0.5000
0.5000 0.5000 0.0000
0.5000 0.7798 0.2202
0.3594 0.6406 0.6406
0.0000 0.3594 0.6406
0.7202 0.7798 0.7798
0.0000 0.5000 0.0000
0.6406 0.3594 0.3594
0.2798 0.2202 0.2202
0.0000 0.0000 0.0000

[10]
PBE HfBeSi2S, optimized geometry; formation energy (no corrections) = 247 meV per atom; space-group type = P4/mmm (123); N(E_F) = 2.081 states/eV/cell; raw total energy = -5.48 eV/atom
1.0
3.9591 0.0000 0.0000
0.0000 5.2174 0.0000
0.0000 0.0000 3.9591
S Hf Si Be
1 1 2 1
direct
0.5000 0.5000 0.5000
0.0000 0.5000 0.0000
0.5000 0.0000 0.0000
0.0000 0.0000 0.5000
0.0000 0.0000 0.0000

[11]
PBE SrMg2In, optimized geometry; space-group type = P4mm (99); N(E_F) = 1.987 states/eV/cell; raw total energy = -2.06 eV/atom
1.0
3.7890 0.0000 0.0000
0.0000 3.7890 0.0000
0.0000 0.0000 7.9778
Sr Mg In
1 2 1
direct
0.0000 0.0000 0.5091
0.0000 0.0000 0.9956
0.5000 0.5000 0.2001
0.5000 0.5000 0.7952

[12]
PBE Co3NiOs, optimized geometry; polymorph energy (0 for the lowest one) = 0 meV/atom; space-group type = Pm-3m (221); N(E_F) = 8.385 states/eV/cell; raw total energy = -6.22 eV/atom
1.0
4.1645 0.0000 0.0000
0.0000 4.1645 0.0000
0.0000 0.0000 4.1645
Ni Co Os
1 3 1
direct
0.0000 0.0000 0.0000
0.5000 0.0000 0.0000
0.0000 0.5000 0.0000
0.0000 0.0000 0.5000
0.5000 0.5000 0.5000

[13]
PBE SrEu2Zr, optimized geometry; space-group type = R-3m (166); N(E_F) = 5.873 states/eV/cell; raw total energy = -7.17 eV/atom
1.0
3.5662 0.0000 0.0000
1.7831 3.0884 0.0000
1.7831 1.0295 13.0884
Eu Zr Sr
2 1 1
direct
0.0794 0.0794 0.7618
0.9206 0.9206 0.2382
0.0000 0.0000 0.0000
0.5000 0.5000 0.5000

[14]
PBE LaPm2Pb2, optimized geometry; polymorph energy (0 for the lowest one) = 0 meV/atom; space-group type = C2/m (12); N(E_F) = 10.357 states/eV/cell; raw total energy = -4.84 eV/atom
1.0
4.8498 -0.0009 -0.0002
-2.4247 5.7578 -1.4584
0.0007 -5.7767 13.2808
Pb Pm La
4 4 2
direct
0.5062 0.0124 0.3626
0.4919 0.9837 0.8539
0.5081 0.0163 0.1461
0.4938 0.9876 0.6374
0.8017 0.6031 0.6501
0.1983 0.3969 0.3499
0.0000 0.0000 0.0000
0.0000 0.0000 0.5000
0.1958 0.3920 0.8494
0.8042 0.6080 0.1506

[15]
PBE BaCd2InRh2, optimized geometry; space-group type = P4/mmm (123); N(E_F) = 4.335 states/eV/cell; raw total energy = -3.59 eV/atom
1.0
4.9999 0.0000 0.0000
0.0000 4.9999 0.0000
0.0000 0.0000 6.4798
Cd Ba In Rh
2 1 1 2
direct
0.5000 0.5000 0.2313
0.5000 0.5000 0.7687
0.0000 0.0000 0.5000
0.0000 0.0000 0.0000
0.0000 0.5000 0.0000
0.5000 0.0000 0.0000

[16]
PBE Tb3TmH, optimized geometry; space-group type = Pm-3m (221); N(E_F) = 5.303 states/eV/cell; raw total energy = -4.51 eV/atom
1.0
4.9845 0.0000 0.0000
0.0000 4.9845 0.0000
0.0000 0.0000 4.9845
H Tb Tm
1 3 1
direct
0.0000 0.0000 0.0000
0.0000 0.5000 0.0000
0.0000 0.0000 0.5000
0.5000 0.0000 0.0000
0.5000 0.5000 0.5000

[17]
PBE Mg2CoOs, optimized geometry; polymorph energy (0 for the lowest one) = 168 meV/atom; space-group type = Cmmm (65); N(E_F) = 4.885 states/eV/cell; raw total energy = -5.11 eV/atom
1.0
4.9495 -0.0193 0.0000
-1.9197 4.5621 0.0000
0.0000 0.0000 2.6623
Mg Co Os
2 1 1
direct
0.5000 0.5000 0.0000
0.0000 0.0000 0.0000
0.0000 0.5000 0.5000
0.5000 0.0000 0.5000

[18]
PBE TlBi2Pd2, optimized geometry; polymorph energy (0 for the lowest one) = 33 meV/atom; space-group type = P4/mbm (127); N(E_F) = 3.180 states/eV/cell; raw total energy = -4.26 eV/atom
1.0
-3.0160 -7.2444 -2.4577
5.0781 -3.8717 5.1807
-2.4282 0.1623 2.5014
Tl Bi Pd
2 4 4
direct
0.0000 0.0000 0.0000
0.5000 0.5000 0.0000
0.8415 0.3415 0.5000
0.1585 0.6585 0.5000
0.6585 0.8415 0.5000
0.3415 0.1585 0.5000
0.1280 0.3720 0.0000
0.6280 0.1280 0.0000
0.3720 0.8720 0.0000
0.8720 0.6280 0.0000

[19]
PBE YCr2Fe, optimized geometry; polymorph energy (0 for the lowest one) = 179 meV/atom; space-group type = P4/mmm (123); N(E_F) = 5.051 states/eV/cell; raw total energy = -8.07 eV/atom
1.0
3.0282 0.0000 0.0000
0.0000 3.0282 0.0000
0.0000 0.0000 7.1680
Cr Y Fe
2 1 1
direct
0.0000 0.0000 0.4388
0.0000 0.0000 0.0612
0.5000 0.5000 0.7500
0.5000 0.5000 0.2500

[20]
PBE KZrSN2, optimized geometry; polymorph energy (0 for the lowest one) = 0 meV/atom; formation energy (no corrections) = -142 meV per atom; space-group type = P4/mmm (123); N(E_F) = 1.490 states/eV/cell; raw total energy = -6.23 eV/atom
1.0
-0.5044 -2.2502 -3.7679
2.9220 -3.0021 1.4017
-3.7953 -2.7031 2.1224
Zr N K S
1 2 1 1
direct
0.0000 0.0000 0.0000
0.0000 0.5000 0.0000
0.5000 0.0000 0.0000
0.5000 0.5000 0.5000
0.0000 0.0000 0.5000

[21]
PBE K2AgTeI, optimized geometry; formation energy (no corrections) = -789 meV per atom; space-group type = P4/mmm (123); raw total energy = -2.74 eV/atom
1.0
6.7158 0.0000 0.0000
0.0000 6.7158 0.0000
0.0000 0.0000 5.2065
I K Ag Te
1 2 1 1
direct
0.5000 0.5000 0.5000
0.5000 0.0000 0.0000
0.0000 0.5000 0.0000
0.0000 0.0000 0.5000
0.0000 0.0000 0.0000

[22]
PBE Ba3CoRh, optimized geometry; polymorph energy (0 for the lowest one) = 0 meV/atom; space-group type = Pm-3m (221); N(E_F) = 3.869 states/eV/cell; raw total energy = -3.62 eV/atom
1.0
5.9505 0.0000 0.0000
0.0000 5.9505 0.0000
0.0000 0.0000 5.9505
Co Ba Rh
1 3 1
direct
0.5000 0.5000 0.5000
0.0000 0.0000 0.5000
0.5000 0.0000 0.0000
0.0000 0.5000 0.0000
0.0000 0.0000 0.0000

[23]
PBE KZnHg2Sb, optimized geometry; formation energy (no corrections) = -64 meV per atom; space-group type = P4/mmm (123); N(E_F) = 2.751 states/eV/cell; raw total energy = -1.48 eV/atom
1.0
5.4241 0.0000 0.0000
0.0000 5.4241 0.0000
0.0000 0.0000 5.3723
Hg Zn K Sb
2 1 1 1
direct
0.0000 0.5000 0.0000
0.5000 0.0000 0.0000
0.0000 0.0000 0.0000
0.5000 0.5000 0.5000
0.0000 0.0000 0.5000

[24]
PBE Ce3Er2In2, optimized geometry; space-group type = C2/m (12); N(E_F) = 17.830 states/eV/cell; raw total energy = -4.81 eV/atom
1.0
-2.6928 -1.5129 -3.6124
4.9986 -3.0491 0.6775
-4.1222 -4.3022 4.8746
Ce Er In
3 2 2
direct
0.3833 0.7666 0.5676
0.6167 0.2334 0.4324
0.5000 0.0000 0.0000
0.7816 0.5632 0.8507
0.2184 0.4368 0.1493
0.9128 0.8256 0.2713
0.0872 0.1744 0.7287

[25]
PBE Mo, optimized geometry; polymorph energy (0 for the lowest one) = 1050 meV/atom; space-group type = P4/mbm (127); N(E_F) = 9.238 states/eV/cell; raw total energy = -9.78 eV/atom
1.0
5.1870 0.0000 0.0000
0.0000 5.1870 0.0000
0.0000 0.0000 5.1898
Mo
8
direct
0.2039 0.2039 0.5000
0.7039 0.2961 0.5000
0.2961 0.7039 0.0000
0.7039 0.2961 0.0000
0.7961 0.7961 0.5000
0.2039 0.2039 0.0000
0.7961 0.7961 0.0000
0.2961 0.7039 0.5000

[26]
PBE Al3Tl3Ga8, optimized geometry; space-group type = Immm (71); N(E_F) = 5.458 states/eV/cell; raw total energy = -2.98 eV/atom
1.0
-4.4742 0.7370 -1.2396
-4.0042 -7.3810 1.1507
-4.4334 0.2222 7.2203
Al Tl Ga
3 3 8
direct
0.5000 0.0000 0.0000
0.0000 0.1582 0.8418
0.0000 0.8418 0.1582
0.2182 0.7818 0.7818
0.7818 0.2182 0.2182
0.5000 0.5000 0.5000
0.1484 0.2117 0.4915
0.1484 0.4915 0.2117
0.6418 0.0652 0.6513
0.8516 0.5085 0.7883
0.6418 0.6513 0.0652
0.3582 0.9348 0.3487
0.8516 0.7883 0.5085
0.3582 0.3487 0.9348